# 1
Entry from Alexandria: GePtSCl2 at its PBEsol-relaxed geometry (SCAN).

energy relative to the elements, uncorrected = 0.532 eV per atom

Lattice parameters (Å, degrees): 4.6043 4.6840 4.6840 90.00 90.00 90.00
Closest atoms and distances in Å follow each position.
Element x y z (fractional)
Ge1 0.5000 0.5000 0.5000  8 Cl 3.28, 4 Pt 3.31
S1 0.0000 0.0000 0.0000  2 Pt 2.30, 4 Cl 2.34
Pt1 0.5000 0.0000 0.0000  2 S 2.30
Cl1 0.0000 0.5000 0.0000  2 S 2.34
Cl2 0.0000 0.0000 0.5000  2 S 2.34

# 2
Entry from Alexandria: SrBeRe2 at its PBEsol-relaxed geometry (SCAN).

energy relative to the elements = 967 meV per atom

Lattice parameters (Å, degrees): 4.5192 4.5192 4.5192 60.00 60.00 60.00
Closest atoms and distances in Å follow each position.
Element x y z (fractional)
Be1 0.5000 0.5000 0.5000  4 Re 2.77, 4 Sr 2.77
Re1 0.0000 0.0000 0.0000  4 Re 2.77, 4 Sr 2.77
Re2 0.7500 0.7500 0.7500  4 Be 2.77, 4 Re 2.77
Sr1 0.2500 0.2500 0.2500  4 Re 2.77, 4 Be 2.77

# 3
Entry from Alexandria: BeAlHg2 at its PBEsol-relaxed geometry (SCAN).

energy relative to the elements = 558 meV per atom
energy relative to the lowest polymorph listed for this composition = 0.284 eV per atom

Lattice parameters (Å, degrees): 4.7166 4.7166 4.7166 60.00 60.00 60.00
Closest atoms and distances in Å follow each position.
Element x y z (fractional)
Al1 0.5000 0.5000 0.5000  4 Hg 2.89, 4 Be 2.89
Be1 0.2500 0.2500 0.2500  4 Hg 2.89, 4 Al 2.89
Hg1 0.7500 0.7500 0.7500  4 Al 2.89, 4 Hg 2.89
Hg2 0.0000 0.0000 0.0000  4 Hg 2.89, 4 Be 2.89

# 4
Entry from Alexandria: Bi3MoOs at its PBEsol-relaxed geometry (SCAN).

energy relative to the elements = 1403 meV per atom

Lattice parameters (Å, degrees): 5.2288 5.2288 5.2288 90.00 90.00 90.00
Closest atoms and distances in Å follow each position.
Element x y z (fractional)
Mo1 0.5000 0.5000 0.5000  12 Bi 3.70
Bi1 0.0000 0.5000 0.0000  2 Os 2.61
Bi2 0.5000 0.0000 0.0000  2 Os 2.61
Bi3 0.0000 0.0000 0.5000  2 Os 2.61
Os1 0.0000 0.0000 0.0000  6 Bi 2.61

# 5
Entry from Alexandria: Mg2TcCl at its PBEsol-relaxed geometry (SCAN).

energy relative to the elements, uncorrected = 0.473 eV per atom

Lattice parameters (Å, degrees): 4.7485 4.7485 4.7485 60.00 60.00 60.00
Closest atoms and distances in Å follow each position.
Element x y z (fractional)
Cl1 0.0000 0.0000 0.0000  8 Mg 2.91
Tc1 0.5000 0.5000 0.5000  8 Mg 2.91
Mg1 0.2500 0.2500 0.2500  4 Tc 2.91, 4 Cl 2.91
Mg2 0.7500 0.7500 0.7500  4 Cl 2.91, 4 Tc 2.91

# 6
Entry from Alexandria: Ta3GaP at its PBEsol-relaxed geometry (SCAN).

energy relative to the elements = 499 meV per atom

Lattice parameters (Å, degrees): 4.5476 4.5476 4.5476 90.00 90.00 90.00
Closest atoms and distances in Å follow each position.
Element x y z (fractional)
Ta1 0.0000 0.5000 0.0000  2 P 2.27
Ta2 0.5000 0.0000 0.0000  2 P 2.27
Ta3 0.0000 0.0000 0.5000  2 P 2.27
P1 0.0000 0.0000 0.0000  6 Ta 2.27
Ga1 0.5000 0.5000 0.5000  12 Ta 3.22